(1)
CoGe2Ir2 | GGA-PBE | optimized geometry

```
CoGe2Ir2
1.0
-2.037 2.037 5.016
2.037 -2.037 5.016
2.037 2.037 -5.016
Co Ge Ir
1 2 2
Cartesian
0.000 0.000 0.000
0.000 0.000 3.846
0.000 0.000 6.186
2.037 0.000 2.508
0.000 2.037 2.508
```

Summary:
**V**: 16.7 Å³ per atom
**E_tot**: -32.917 eV for the cell shown
**Energy of formation**: 22.1 kJ/mol of atoms
**Spin magnetization**: 1.66 μB/f.u.



(2)
ErNi3Sn3 | GGA-PBE | optimized geometry

```
ErNi3Sn3
1.0
6.881 0.000 0.000
0.000 6.881 0.000
0.000 0.000 6.881
Er Ni Sn
2 6 6
Cartesian
0.000 0.000 0.000
3.441 3.441 3.441
0.000 1.720 3.441
0.000 5.161 3.441
1.720 3.441 0.000
3.441 0.000 1.720
3.441 0.000 5.161
5.161 3.441 0.000
0.000 3.441 1.720
0.000 3.441 5.161
1.720 0.000 3.441
3.441 1.720 0.000
3.441 5.161 0.000
5.161 0.000 3.441
```

Summary:
**V**: 23.3 Å³ per atom
**E_tot**: -65.579 eV for the cell shown
**Energy of formation**: 15.5 kJ/mol of atoms
**Spin magnetization**: 0.00 μB/f.u.



(3)
Zr2CrAu | GGA-PBE | optimized geometry

```
Zr2CrAu
1.0
0.000 3.352 3.352
3.352 0.000 3.352
3.352 3.352 0.000
Zr Cr Au
2 1 1
Cartesian
0.000 0.000 0.000
1.676 1.676 1.676
5.027 5.027 5.027
3.352 3.352 3.352
```

Summary:
**V**: 18.8 Å³ per atom
**E_tot**: -29.922 eV for the cell shown
**Energy of formation**: 1.8 kJ/mol of atoms
**Spin magnetization**: 2.54 μB/f.u.